# Tb2Pm6SmDy3 (PBE, relaxed)
# ρ in g/cm³: 7.63
# Magnetization in μB/atom: 0.00
# Symmetry: C2/m
# DFT formation energy in eV per atom: 0.01
# DFT total energy in eV for the cell shown: -56.14
data_Tb2Pm6SmDy3
_chemical_formula_sum 'Tb2 Pm6 Sm1 Dy3'
_cell_length_a 6.2545
_cell_length_b 6.2545
_cell_length_c 11.9045
_cell_angle_alpha 95.01
_cell_angle_beta 95.01
_cell_angle_gamma 119.98
_symmetry_space_group_name_H-M 'P 1'
_symmetry_Int_Tables_number 1
loop_
_symmetry_equiv_pos_as_xyz
'x,y,z'
loop_
_atom_site_label
_atom_site_fract_x
_atom_site_fract_y
_atom_site_fract_z
Dy1 0.1668 0.8332 0.5000
Pm1 0.4178 0.0840 0.2512
Dy2 0.8332 0.1668 0.5000
Pm2 0.2496 0.2496 0.7488
Pm3 0.9160 0.5822 0.7488
Pm4 0.0840 0.4178 0.2512
Pm5 0.5822 0.9160 0.7488
Pm6 0.7504 0.7504 0.2512
Dy3 0.5000 0.5000 0.5000
Tb1 0.3334 0.6666 0.0000
Tb2 0.6666 0.3334 0.0000
Sm1 0.0000 0.0000 0.0000